Li3Nd2Pt4 | PBE-GGA | relaxed

N(E_F) = 0.41 states/eV/atom
spin magnetization = 0.00 μB/f.u.
formation energy from the elements = -0.807 eV per atom
raw total energy = -5.19 eV/atom
theoretical density = 11.12 g/cm³

Structure (CIF):
```
data_Li3Nd2Pt4
_chemical_formula_sum 'Li12 Nd8 Pt16'
_cell_length_a 5.602
_cell_length_b 15.067
_cell_length_c 7.710
_cell_angle_alpha 90.00
_cell_angle_beta 90.00
_cell_angle_gamma 90.00
_symmetry_space_group_name_H-M 'C m c e'
_symmetry_Int_Tables_number 64
_symmetry_space_group_name_Hall '-C 2ac 2'
loop_
_atom_site_label
_atom_site_type_symbol
_atom_site_fract_x
_atom_site_fract_y
_atom_site_fract_z
Li1 Li 0.000 0.000 0.000
Li2 Li 0.250 0.219 0.250
Nd1 Nd 0.000 0.113 0.587
Pt1 Pt 0.000 0.179 0.970
Pt2 Pt 0.250 0.052 0.250
```

***

LaPm4Te5 | PBE-GGA | relaxed

N(E_F) = 0.56 states/eV/atom
spin magnetization = 0.00 μB/f.u.
raw total energy = -5.41 eV/atom
formation energy (no corrections) = -1.44 eV per atom
theoretical density = 7.03 g/cm³

Structure (CIF):
```
data_LaPm4Te5
_chemical_formula_sum 'La2 Pm8 Te10'
_cell_length_a 4.489
_cell_length_b 4.489
_cell_length_c 31.797
_cell_angle_alpha 90.00
_cell_angle_beta 90.00
_cell_angle_gamma 90.00
_symmetry_space_group_name_H-M 'I 4/m m m'
_symmetry_Int_Tables_number 139
_symmetry_space_group_name_Hall '-I 4 2'
loop_
_atom_site_label
_atom_site_type_symbol
_atom_site_fract_x
_atom_site_fract_y
_atom_site_fract_z
La1 La 0.000 0.000 0.000
Pm1 Pm 0.000 0.000 0.199
Pm2 Pm 0.000 0.000 0.399
Te1 Te 0.000 0.000 0.101
Te2 Te 0.000 0.000 0.299
Te3 Te 0.000 0.000 0.500
```

***

BaTh4Te8 | PBE-GGA | relaxed

N(E_F) = 0.68 states/eV/atom
spin magnetization = 0.00 μB/f.u.
raw total energy = -5.52 eV/atom
formation energy (no corrections) = -1.15 eV per atom
theoretical density = 5.92 g/cm³

Structure (CIF):
```
data_BaTh4Te8
_chemical_formula_sum 'Ba4 Th16 Te32'
_cell_length_a 13.278
_cell_length_b 13.278
_cell_length_c 13.278
_cell_angle_alpha 90.00
_cell_angle_beta 90.00
_cell_angle_gamma 90.00
_symmetry_space_group_name_H-M 'F -4 3 m'
_symmetry_Int_Tables_number 216
_symmetry_space_group_name_Hall 'F -4 2 3'
loop_
_atom_site_label
_atom_site_type_symbol
_atom_site_fract_x
_atom_site_fract_y
_atom_site_fract_z
Ba1 Ba 0.000 0.000 0.000
Th1 Th 0.119 0.119 0.619
Te1 Te 0.118 0.118 0.382
Te2 Te 0.142 0.142 0.858
```

***

GaGeRuAu2 | PBE-GGA | relaxed

N(E_F) = 1.39 states/eV/atom
spin magnetization = 2.67 μB/f.u.
formation energy from the elements = 1.022 eV per atom
raw total energy = -3.67 eV/atom
theoretical density = 9.51 g/cm³

Structure (CIF):
```
data_GaGeRuAu2
_chemical_formula_sum 'Ga1 Ge1 Ru1 Au2'
_cell_length_a 4.821
_cell_length_b 4.821
_cell_length_c 4.791
_cell_angle_alpha 90.00
_cell_angle_beta 90.00
_cell_angle_gamma 90.00
_symmetry_space_group_name_H-M 'P 4/m m m'
_symmetry_Int_Tables_number 123
_symmetry_space_group_name_Hall '-P 4 2'
loop_
_atom_site_label
_atom_site_type_symbol
_atom_site_fract_x
_atom_site_fract_y
_atom_site_fract_z
Ga1 Ga 0.000 0.000 0.000
Ge1 Ge 0.000 0.000 0.500
Ru1 Ru 0.500 0.500 0.000
Au1 Au 0.000 0.500 0.500
```

***

Ba3TiP | PBE-GGA | relaxed

N(E_F) = 1.25 states/eV/atom
spin magnetization = 4.72 μB/f.u.
formation energy from the elements = 0.107 eV per atom
relative energy among the computed polymorphs = 0 meV per atom
raw total energy = -3.71 eV/atom
theoretical density = 3.35 g/cm³

Structure (CIF):
```
data_Ba3TiP
_chemical_formula_sum 'Ba3 Ti1 P1'
_cell_length_a 6.244
_cell_length_b 6.244
_cell_length_c 6.244
_cell_angle_alpha 90.00
_cell_angle_beta 90.00
_cell_angle_gamma 90.00
_symmetry_space_group_name_H-M 'P m -3 m'
_symmetry_Int_Tables_number 221
_symmetry_space_group_name_Hall '-P 4 2 3'
loop_
_atom_site_label
_atom_site_type_symbol
_atom_site_fract_x
_atom_site_fract_y
_atom_site_fract_z
Ba1 Ba 0.000 0.000 0.500
Ti1 Ti 0.500 0.500 0.500
P1 P 0.000 0.000 0.000
```

***

LiH3Pd6 | PBE-GGA | relaxed

N(E_F) = 0.55 states/eV/atom
spin magnetization = 0.00 μB/f.u.
relative energy among the computed polymorphs = 67 meV per atom
raw total energy = -4.40 eV/atom
theoretical density = 8.92 g/cm³

Structure (CIF):
```
data_LiH3Pd6
_chemical_formula_sum 'Li1 H3 Pd6'
_cell_length_a 5.038
_cell_length_b 5.378
_cell_length_c 5.451
_cell_angle_alpha 103.83
_cell_angle_beta 99.65
_cell_angle_gamma 117.30
_symmetry_space_group_name_H-M 'P 1'
_symmetry_Int_Tables_number 1
loop_
_symmetry_equiv_pos_as_xyz
'x,y,z'
loop_
_atom_site_label
_atom_site_type_symbol
_atom_site_fract_x
_atom_site_fract_y
_atom_site_fract_z
Li1 Li 0.000 0.000 0.000
H1 H 0.179 0.549 0.028
H2 H 0.418 0.194 0.605
H3 H 0.711 0.539 0.301
Pd1 Pd 0.387 0.451 0.442
Pd2 Pd 0.422 0.931 0.261
Pd3 Pd 0.496 0.964 0.788
Pd4 Pd 0.499 0.486 0.968
Pd5 Pd 0.938 0.460 0.706
Pd6 Pd 0.956 0.931 0.496
```

***

Tl5Hg4Bi2 | PBE-GGA | relaxed

N(E_F) = 0.36 states/eV/atom
spin magnetization = 0.00 μB/f.u.
formation energy from the elements = 0.023 eV per atom
relative energy among the computed polymorphs = 0 meV per atom
raw total energy = -1.87 eV/atom
theoretical density = 10.36 g/cm³

Structure (CIF):
```
data_Tl5Hg4Bi2
_chemical_formula_sum 'Tl10 Hg8 Bi4'
_cell_length_a 25.564
_cell_length_b 4.176
_cell_length_c 6.766
_cell_angle_alpha 90.00
_cell_angle_beta 95.60
_cell_angle_gamma 90.00
_symmetry_space_group_name_H-M 'C 1 2/m 1'
_symmetry_Int_Tables_number 12
loop_
_symmetry_equiv_pos_as_xyz
'x,y,z'
'-x,-y,-z'
'-x,y,-z'
'x,-y,z'
'x+1/2,y+1/2,z'
'-x+1/2,-y+1/2,-z'
'-x+1/2,y+1/2,-z'
'x+1/2,-y+1/2,z'
loop_
_atom_site_label
_atom_site_type_symbol
_atom_site_fract_x
_atom_site_fract_y
_atom_site_fract_z
Tl1 Tl 0.000 0.000 0.000
Tl2 Tl 0.124 0.500 0.999
Tl3 Tl 0.188 0.500 0.466
Hg1 Hg 0.042 0.500 0.344
Hg2 Hg 0.083 0.000 0.650
Bi1 Bi 0.217 0.000 0.859
```

***

Li7Ag2Pd2 | PBE-GGA | relaxed

N(E_F) = 0.25 states/eV/atom
spin magnetization = 0.00 μB/f.u.
formation energy from the elements = -0.190 eV per atom
raw total energy = -2.87 eV/atom
theoretical density = 4.55 g/cm³

Structure (CIF):
```
data_Li7Ag2Pd2
_chemical_formula_sum 'Li14 Ag4 Pd4'
_cell_length_a 7.996
_cell_length_b 9.420
_cell_length_c 5.128
_cell_angle_alpha 90.00
_cell_angle_beta 115.61
_cell_angle_gamma 90.00
_symmetry_space_group_name_H-M 'C 1 2/m 1'
_symmetry_Int_Tables_number 12
loop_
_symmetry_equiv_pos_as_xyz
'x,y,z'
'-x,-y,-z'
'-x,y,-z'
'x,-y,z'
'x+1/2,y+1/2,z'
'-x+1/2,-y+1/2,-z'
'-x+1/2,y+1/2,-z'
'x+1/2,-y+1/2,z'
loop_
_atom_site_label
_atom_site_type_symbol
_atom_site_fract_x
_atom_site_fract_y
_atom_site_fract_z
Li1 Li 0.000 0.000 0.000
Li2 Li 0.151 0.500 0.467
Li3 Li 0.176 0.246 0.175
Ag1 Ag 0.000 0.147 0.500
Pd1 Pd 0.180 0.500 0.995
```

***

Rb2Na2S | PBE-GGA | relaxed

N(E_F) = 0.12 states/eV/atom
spin magnetization = 0.00 μB/f.u.
relative energy among the computed polymorphs = 0 meV per atom
raw total energy = -2.08 eV/atom
formation energy (no corrections) = -0.34 eV per atom
theoretical density = 2.11 g/cm³

Structure (CIF):
```
data_Rb2Na2S
_chemical_formula_sum 'Rb4 Na4 S2'
_cell_length_a 7.861
_cell_length_b 7.861
_cell_length_c 6.342
_cell_angle_alpha 90.00
_cell_angle_beta 90.00
_cell_angle_gamma 90.00
_symmetry_space_group_name_H-M 'P 4/m b m'
_symmetry_Int_Tables_number 127
_symmetry_space_group_name_Hall '-P 4 2ab'
loop_
_atom_site_label
_atom_site_type_symbol
_atom_site_fract_x
_atom_site_fract_y
_atom_site_fract_z
Rb1 Rb 0.197 0.303 0.000
Na1 Na 0.167 0.667 0.500
S1 S 0.000 0.000 0.500
```

***

K4Na5Sn2 | PBE-GGA | relaxed

N(E_F) = 0.50 states/eV/atom
spin magnetization = 0.00 μB/f.u.
formation energy from the elements = -0.023 eV per atom
raw total energy = -1.75 eV/atom
theoretical density = 1.80 g/cm³

Structure (CIF):
```
data_K4Na5Sn2
_chemical_formula_sum 'K4 Na5 Sn2'
_cell_length_a 9.463
_cell_length_b 4.125
_cell_length_c 12.016
_cell_angle_alpha 90.00
_cell_angle_beta 93.62
_cell_angle_gamma 90.00
_symmetry_space_group_name_H-M 'P 1 2/m 1'
_symmetry_Int_Tables_number 10
loop_
_symmetry_equiv_pos_as_xyz
'x,y,z'
'-x,-y,-z'
'-x,y,-z'
'x,-y,z'
loop_
_atom_site_label
_atom_site_type_symbol
_atom_site_fract_x
_atom_site_fract_y
_atom_site_fract_z
K1 K 0.144 0.000 0.362
K2 K 0.261 0.000 0.948
Na1 Na 0.206 0.500 0.680
Na2 Na 0.406 0.500 0.200
Na3 Na 0.500 0.500 0.500
Sn1 Sn 0.047 0.500 0.122
```

***

LiDyCuRh | PBE-GGA | relaxed

N(E_F) = 0.22 states/eV/atom
spin magnetization = 0.00 μB/f.u.
formation energy from the elements = -0.314 eV per atom
raw total energy = -4.81 eV/atom
theoretical density = 8.05 g/cm³

Structure (CIF):
```
data_LiDyCuRh
_chemical_formula_sum 'Li4 Dy4 Cu4 Rh4'
_cell_length_a 6.520
_cell_length_b 6.520
_cell_length_c 6.520
_cell_angle_alpha 90.00
_cell_angle_beta 90.00
_cell_angle_gamma 90.00
_symmetry_space_group_name_H-M 'F -4 3 m'
_symmetry_Int_Tables_number 216
_symmetry_space_group_name_Hall 'F -4 2 3'
loop_
_atom_site_label
_atom_site_type_symbol
_atom_site_fract_x
_atom_site_fract_y
_atom_site_fract_z
Li1 Li 0.000 0.000 0.000
Dy1 Dy 0.000 0.000 0.500
Cu1 Cu 0.250 0.250 0.750
Rh1 Rh 0.250 0.250 0.250
```

***

NaTeOsAu2 | PBE-GGA | relaxed

N(E_F) = 1.05 states/eV/atom
spin magnetization = 1.99 μB/f.u.
raw total energy = -2.81 eV/atom
formation energy (no corrections) = 1.64 eV per atom
theoretical density = 10.74 g/cm³

Structure (CIF):
```
data_NaTeOsAu2
_chemical_formula_sum 'Na1 Te1 Os1 Au2'
_cell_length_a 4.761
_cell_length_b 4.761
_cell_length_c 5.010
_cell_angle_alpha 90.00
_cell_angle_beta 90.00
_cell_angle_gamma 90.00
_symmetry_space_group_name_H-M 'P 4/m m m'
_symmetry_Int_Tables_number 123
_symmetry_space_group_name_Hall '-P 4 2'
loop_
_atom_site_label
_atom_site_type_symbol
_atom_site_fract_x
_atom_site_fract_y
_atom_site_fract_z
Na1 Na 0.000 0.000 0.000
Te1 Te 0.500 0.500 0.500
Os1 Os 0.000 0.000 0.500
Au1 Au 0.000 0.500 0.000
```